1.
First-principles (GGA-PBE) data for an optimized crystal structure of NbSiAu, as listed in the Alexandria database.

Lattice parameters (Å, degrees): 3.805 3.805 6.922 90.00 90.00 90.00
Fractional positions:
1 Au 0.000 0.000 0.000
2 Nb 0.000 0.500 0.368
3 Au 0.500 0.500 0.000
4 Si 0.500 0.000 0.267
5 Nb 0.500 0.000 0.632
6 Si 0.000 0.500 0.733

Results
Formation energy without anion corrections   -0.2041 eV per atom
Calculated volume   100.2 Å³/cell
Mass density   10.539 g cm⁻³
Size of the total moment   0.0 μB/f.u.
SG   P4/nmm

2.
First-principles (GGA-PBE) data for an optimized crystal structure of NbSiAu3, as listed in the Alexandria database.

Lattice parameters (Å, degrees): 5.109 5.109 5.109 90.00 90.00 90.00
Fractional positions:
1 Si 0.500 0.500 0.500
2 Au 0.500 0.000 0.000
3 Nb 0.000 0.000 0.000
4 Au 0.000 0.000 0.500
5 Au 0.000 0.500 0.000

Results
Formation energy without anion corrections   1.2623 eV per atom
Calculated volume   133.4 Å³/cell
Mass density   8.864 g cm⁻³
Size of the total moment   0.0 μB/f.u.
SG   Pm-3m
Relative energy among the computed polymorphs   667 meV/atom

3.
First-principles (GGA-PBE) data for an optimized crystal structure of NbSi3Au, as listed in the Alexandria database.

Lattice parameters (Å, degrees): 4.775 4.775 4.775 90.00 90.00 90.00
Each line ends with the local moment (μB).
Fractional positions:
1 Si 0.000 0.500 0.000  0.01
2 Au 0.000 0.000 0.000  0.00
3 Si 0.500 0.000 0.000  0.02
4 Nb 0.500 0.500 0.500  1.92
5 Si 0.000 0.000 0.500  0.01

Results
Formation energy without anion corrections   1.3065 eV per atom
Calculated volume   108.9 Å³/cell
Mass density   5.706 g cm⁻³
Size of the total moment   2.5 μB/f.u.
SG   Pm-3m
Relative energy among the computed polymorphs   471 meV/atom

4.
First-principles (GGA-PBE) data for an optimized crystal structure of NbSi3Au, as listed in the Alexandria database.

Lattice parameters (Å, degrees): 4.875 4.875 4.875 90.00 90.00 90.00
Fractional positions:
1 Nb 0.000 0.000 0.000
2 Au 0.500 0.500 0.500
3 Si 0.000 0.000 0.500
4 Si 0.000 0.500 0.000
5 Si 0.500 0.000 0.000

Results
Formation energy without anion corrections   0.8356 eV per atom
Calculated volume   115.8 Å³/cell
Mass density   5.364 g cm⁻³
Size of the total moment   0.0 μB/f.u.
SG   Pm-3m
Relative energy among the computed polymorphs   0 meV/atom

5.
First-principles (GGA-PBE) data for an optimized crystal structure of NbSiAu2, as listed in the Alexandria database.

Lattice parameters (Å, degrees): 3.788 3.788 10.552 79.66 79.66 90.00
Fractional positions:
1 Au 0.375 0.378 0.750
2 Au 0.128 0.625 0.250
3 Au 0.622 0.125 0.250
4 Si 0.500 0.500 0.000
5 Nb 0.000 0.000 0.000
6 Nb 0.750 0.250 0.500
7 Si 0.250 0.750 0.500
8 Au 0.875 0.872 0.750

Results
Formation energy without anion corrections   0.0849 eV per atom
Calculated volume   146.4 Å³/cell
Mass density   11.680 g cm⁻³
Size of the total moment   0.0 μB/f.u.
SG   I-42d

6.
First-principles (GGA-PBE) data for an optimized crystal structure of NbSiAu3, as listed in the Alexandria database.

Lattice parameters (Å, degrees): 4.700 4.700 4.700 90.00 90.00 90.00
Each line ends with the local moment (μB).
Fractional positions:
1 Si 0.000 0.000 0.000  0.00
2 Au 0.500 0.000 0.000  0.02
3 Au 0.000 0.000 0.500  0.02
4 Nb 0.500 0.500 0.500  2.21
5 Au 0.000 0.500 0.000  0.01

Results
Formation energy without anion corrections   0.5951 eV per atom
Calculated volume   103.8 Å³/cell
Mass density   11.389 g cm⁻³
Size of the total moment   2.8 μB/f.u.
SG   Pm-3m
Relative energy among the computed polymorphs   0 meV/atom

7.
First-principles (GGA-PBE) data for an optimized crystal structure of Nb2SiAu, as listed in the Alexandria database.

Lattice parameters (Å, degrees): 7.209 7.209 5.811 51.66 51.66 90.00
Fractional positions:
1 Au 0.000 0.000 0.000
2 Si 0.500 0.500 0.000
3 Nb 0.606 0.125 0.250
4 Au 0.750 0.250 0.500
5 Si 0.250 0.750 0.500
6 Nb 0.875 0.856 0.750
7 Nb 0.375 0.394 0.750
8 Nb 0.144 0.625 0.250

Results
Formation energy without anion corrections   0.0538 eV per atom
Calculated volume   144.9 Å³/cell
Mass density   9.414 g cm⁻³
Size of the total moment   0.0 μB/f.u.
SG   I-42d

8.
First-principles (GGA-PBE) data for an optimized crystal structure of Sr2NbSiAu, as listed in the Alexandria database.

Lattice parameters (Å, degrees): 5.851 5.010 5.851 90.00 90.00 90.00
Fractional positions:
1 Au 0.000 0.500 0.000
2 Sr 0.000 0.000 0.500
3 Nb 0.000 0.000 0.000
4 Si 0.500 0.500 0.500
5 Sr 0.500 0.000 0.000

Results
Formation energy without anion corrections   1.0013 eV per atom
Calculated volume   171.5 Å³/cell
Mass density   4.774 g cm⁻³
Size of the total moment   0.0 μB/f.u.
SG   P4/mmm

9.
First-principles (GGA-PBE) data for an optimized crystal structure of NbSnAu3, as listed in the Alexandria database.

Lattice parameters (Å, degrees): 5.146 5.146 5.146 90.00 90.00 90.00
Fractional positions:
1 Au 0.500 0.000 0.000
2 Au 0.000 0.000 0.500
3 Nb 0.000 0.000 0.000
4 Sn 0.500 0.500 0.500
5 Au 0.000 0.500 0.000

Results
Energy of formation   0.784 eV/atom
Calculated volume   136.3 Å³/cell
Mass density   9.777 g cm⁻³
Size of the total moment   0.0 μB/f.u.
SG   Pm-3m
Relative energy among the computed polymorphs   0 meV/atom

10.
First-principles (GGA-PBE) data for an optimized crystal structure of Nb3SnAu, as listed in the Alexandria database.

Lattice parameters (Å, degrees): 4.665 7.339 5.866 90.00 90.00 90.00
Fractional positions:
1 Au 0.750 0.750 0.485
2 Nb 0.250 0.927 0.208
3 Sn 0.250 0.750 0.736
4 Nb 0.250 0.250 0.976
5 Au 0.250 0.250 0.515
6 Nb 0.250 0.573 0.208
7 Nb 0.750 0.750 0.024
8 Nb 0.750 0.427 0.792
9 Nb 0.750 0.073 0.792
10 Sn 0.750 0.250 0.264

Results
Energy of formation   0.146 eV/atom
Calculated volume   200.8 Å³/cell
Mass density   9.830 g cm⁻³
Size of the total moment   0.0 μB/f.u.
SG   Pmmn
Relative energy among the computed polymorphs   242 meV/atom

11.
First-principles (GGA-PBE) data for an optimized crystal structure of NbSn3Au, as listed in the Alexandria database.

Lattice parameters (Å, degrees): 5.373 5.373 5.373 90.00 90.00 90.00
Fractional positions:
1 Sn 0.000 0.500 0.000
2 Au 0.500 0.500 0.500
3 Sn 0.000 0.000 0.500
4 Sn 0.500 0.000 0.000
5 Nb 0.000 0.000 0.000

Results
Energy of formation   0.517 eV/atom
Calculated volume   155.1 Å³/cell
Mass density   6.916 g cm⁻³
Size of the total moment   0.0 μB/f.u.
SG   Pm-3m
Relative energy among the computed polymorphs   0 meV/atom

12.
First-principles (GGA-PBE) data for an optimized crystal structure of Nb3SnAu, as listed in the Alexandria database.

Lattice parameters (Å, degrees): 3.644 7.337 7.050 92.87 90.00 90.00
Fractional positions:
1 Nb 0.250 0.254 0.245
2 Sn 0.750 0.941 0.167
3 Nb 0.250 0.650 0.041
4 Au 0.250 0.453 0.648
5 Nb 0.750 0.350 0.959
6 Nb 0.750 0.152 0.529
7 Au 0.750 0.547 0.352
8 Nb 0.250 0.848 0.471
9 Nb 0.750 0.746 0.755
10 Sn 0.250 0.059 0.833

Results
Energy of formation   -0.096 eV/atom
Calculated volume   188.2 Å³/cell
Mass density   10.487 g cm⁻³
Size of the total moment   0.0 μB/f.u.
SG   P2_1/m
Relative energy among the computed polymorphs   0 meV/atom

13.
First-principles (GGA-PBE) data for an optimized crystal structure of NbSn3Au, as listed in the Alexandria database.

Lattice parameters (Å, degrees): 5.306 5.306 5.306 90.00 90.00 90.00
Each line ends with the local moment (μB).
Fractional positions:
1 Au 0.000 0.000 0.000  -0.02
2 Sn 0.000 0.000 0.500  -0.04
3 Sn 0.000 0.500 0.000  -0.02
4 Nb 0.500 0.500 0.500  2.48
5 Sn 0.500 0.000 0.000  0.01

Results
Energy of formation   0.953 eV/atom
Calculated volume   149.4 Å³/cell
Mass density   7.179 g cm⁻³
Size of the total moment   3.1 μB/f.u.
SG   Pm-3m
Relative energy among the computed polymorphs   436 meV/atom

14.
First-principles (GGA-PBE) data for an optimized crystal structure of Nb3SnAu, as listed in the Alexandria database.

Lattice parameters (Å, degrees): 5.012 5.012 5.012 90.00 90.00 90.00
Fractional positions:
1 Au 0.500 0.500 0.500
2 Sn 0.000 0.000 0.000
3 Nb 0.000 0.000 0.500
4 Nb 0.000 0.500 0.000
5 Nb 0.500 0.000 0.000

Results
Energy of formation   1.648 eV/atom
Calculated volume   125.9 Å³/cell
Mass density   7.842 g cm⁻³
Size of the total moment   0.0 μB/f.u.
SG   Pm-3m
Relative energy among the computed polymorphs   1744 meV/atom

15.
First-principles (GGA-PBE) data for an optimized crystal structure of Nb6SnAu, as listed in the Alexandria database.

Lattice parameters (Å, degrees): 4.974 2.783 10.921 90.00 90.00 90.00
Fractional positions:
1 Au 0.000 0.000 0.000
2 Nb 0.500 0.500 0.876
3 Nb 0.500 0.000 0.361
4 Nb 0.500 0.000 0.639
5 Nb 0.000 0.500 0.252
6 Nb 0.000 0.500 0.748
7 Nb 0.500 0.500 0.124
8 Sn 0.000 0.000 0.500

Results
Energy of formation   0.155 eV/atom
Calculated volume   151.2 Å³/cell
Mass density   9.590 g cm⁻³
Size of the total moment   0.0 μB/f.u.
SG   Pmmm

16.
First-principles (GGA-PBE) data for an optimized crystal structure of Nb3SnAu, as listed in the Alexandria database.

Lattice parameters (Å, degrees): 4.973 4.973 4.973 90.00 90.00 90.00
Fractional positions:
1 Sn 0.500 0.500 0.500
2 Nb 0.000 0.000 0.500
3 Nb 0.000 0.500 0.000
4 Nb 0.500 0.000 0.000
5 Au 0.000 0.000 0.000

Results
Energy of formation   1.258 eV/atom
Calculated volume   123.0 Å³/cell
Mass density   8.025 g cm⁻³
Size of the total moment   0.0 μB/f.u.
SG   Pm-3m
Relative energy among the computed polymorphs   1355 meV/atom

17.
First-principles (GGA-PBE) data for an optimized crystal structure of NbSnAu3, as listed in the Alexandria database.

Lattice parameters (Å, degrees): 5.101 5.101 5.101 90.00 90.00 90.00
Each line ends with the local moment (μB).
Fractional positions:
1 Nb 0.500 0.500 0.500  2.70
2 Au 0.000 0.500 0.000  0.01
3 Au 0.500 0.000 0.000  0.01
4 Au 0.000 0.000 0.500  0.00
5 Sn 0.000 0.000 0.000  -0.03

Results
Energy of formation   0.995 eV/atom
Calculated volume   132.7 Å³/cell
Mass density   10.040 g cm⁻³
Size of the total moment   3.6 μB/f.u.
SG   Pm-3m
Relative energy among the computed polymorphs   211 meV/atom

18.
First-principles (GGA-PBE) data for an optimized crystal structure of SrNbSn2Au, as listed in the Alexandria database.

Lattice parameters (Å, degrees): 5.416 5.338 5.416 90.00 90.00 90.00
Each line ends with the local moment (μB).
Fractional positions:
1 Sr 0.500 0.500 0.500  0.03
2 Sn 0.500 0.000 0.000  -0.04
3 Au 0.000 0.000 0.000  0.06
4 Sn 0.000 0.000 0.500  -0.05
5 Nb 0.000 0.500 0.000  2.22

Results
Energy of formation   0.497 eV/atom
Calculated volume   156.6 Å³/cell
Mass density   6.521 g cm⁻³
Size of the total moment   2.9 μB/f.u.
SG   P4/mmm

19.
First-principles (GGA-PBE) data for an optimized crystal structure of NbSn2TeAu, as listed in the Alexandria database.

Lattice parameters (Å, degrees): 5.225 5.225 5.487 90.00 90.00 90.00
Each line ends with the local moment (μB).
Fractional positions:
1 Sn 0.500 0.000 0.000  0.02
2 Sn 0.000 0.500 0.000  0.02
3 Au 0.000 0.000 0.000  0.08
4 Te 0.500 0.500 0.500  -0.07
5 Nb 0.000 0.000 0.500  2.29

Results
Formation energy without anion corrections   0.7222 eV per atom
Calculated volume   149.8 Å³/cell
Mass density   7.259 g cm⁻³
Size of the total moment   3.0 μB/f.u.
SG   P4/mmm

20.
First-principles (GGA-PBE) data for an optimized crystal structure of Sr2NbAu, as listed in the Alexandria database.

Lattice parameters (Å, degrees): 8.841 8.841 7.053 51.18 51.18 90.00
Each line ends with the local moment (μB).
Fractional positions:
1 Sr 0.875 0.915 0.750  0.07
2 Au 0.750 0.250 0.500  0.05
3 Sr 0.085 0.625 0.250  0.07
4 Au 0.000 0.000 0.000  0.05
5 Nb 0.500 0.500 0.000  2.53
6 Sr 0.375 0.335 0.750  0.07
7 Sr 0.665 0.125 0.250  0.07
8 Nb 0.250 0.750 0.500  2.53

Results
Energy of formation   0.568 eV/atom
Calculated volume   255.1 Å³/cell
Mass density   6.054 g cm⁻³
Size of the total moment   3.9 μB/f.u.
SG   I-42d
Relative energy among the computed polymorphs   146 meV/atom